(1)
# Nd2TcC2 PBE optimized geometry
data_Nd2TcC2
_symmetry_space_group_name_H-M 'P 1'
_symmetry_Int_Tables_number 1
_symmetry_space_group_name_Hall 'P 1'
_cell_length_a 6.3425
_cell_length_b 6.3425
_cell_length_c 6.8574
_cell_angle_alpha 116.79
_cell_angle_beta 116.79
_cell_angle_gamma 50.00
loop_
_atom_site_label
_atom_site_type_symbol
_atom_site_fract_x
_atom_site_fract_y
_atom_site_fract_z
Nd1 Nd 0.0344 0.0344 0.2838
Nd2 Nd 0.3189 0.3189 0.8723
Nd3 Nd 0.6811 0.6811 0.1277
Nd4 Nd 0.9656 0.9656 0.7162
Tc1 Tc 0.3645 0.3645 0.3693
Tc2 Tc 0.6355 0.6355 0.6307
C1 C 0.1839 0.1839 0.1165
C2 C 0.4938 0.4938 0.7149
C3 C 0.5062 0.5062 0.2851
C4 C 0.8161 0.8161 0.8835
# final energy: -78.6 eV for the cell shown
# total magnetization: 0.0 μB/f.u.
# space group: C2/m (12)


(2)
# TaAs PBE optimized geometry
data_TaAs
_symmetry_space_group_name_H-M 'P 1'
_symmetry_Int_Tables_number 1
_symmetry_space_group_name_Hall 'P 1'
_cell_length_a 3.4103
_cell_length_b 3.4103
_cell_length_c 3.4900
_cell_angle_alpha 90.00
_cell_angle_beta 90.00
_cell_angle_gamma 120.00
loop_
_atom_site_label
_atom_site_type_symbol
_atom_site_fract_x
_atom_site_fract_y
_atom_site_fract_z
Ta1 Ta 0.0000 0.0000 0.0000
As1 As 0.6667 0.3333 0.5000
# final energy: -17.6 eV for the cell shown
# total magnetization: 0.0 μB/f.u.
# space group: P-6m2 (187)


(3)
# LiFeAuSeS2 PBE optimized geometry
data_LiFeAuSeS2
_symmetry_space_group_name_H-M 'P 1'
_symmetry_Int_Tables_number 1
_symmetry_space_group_name_Hall 'P 1'
_cell_length_a 7.0746
_cell_length_b 7.0746
_cell_length_c 9.7588
_cell_angle_alpha 90.00
_cell_angle_beta 90.00
_cell_angle_gamma 153.67
loop_
_atom_site_label
_atom_site_type_symbol
_atom_site_fract_x
_atom_site_fract_y
_atom_site_fract_z
Li1 Li 0.1986 0.8014 0.7500
Li2 Li 0.8014 0.1986 0.2500
Fe1 Fe 0.5000 0.5000 0.0000
Fe2 Fe 0.5000 0.5000 0.5000
Au1 Au 0.1456 0.8544 0.2500
Au2 Au 0.8544 0.1456 0.7500
Se1 Se 0.4491 0.5509 0.2500
Se2 Se 0.5509 0.4491 0.7500
S1 S 0.1184 0.8816 0.0135
S2 S 0.1184 0.8816 0.4865
S3 S 0.8816 0.1184 0.5135
S4 S 0.8816 0.1184 0.9865
# final energy: -54.4 eV for the cell shown
# total magnetization: 1.7 μB/f.u.
# space group: Cmcm (63)


(4)
# Sm4In20Ni11 PBE optimized geometry
data_Sm4In20Ni11
_symmetry_space_group_name_H-M 'P 1'
_symmetry_Int_Tables_number 1
_symmetry_space_group_name_Hall 'P 1'
_cell_length_a 11.5972
_cell_length_b 11.5972
_cell_length_c 16.6836
_cell_angle_alpha 123.87
_cell_angle_beta 123.87
_cell_angle_gamma 21.77
loop_
_atom_site_label
_atom_site_type_symbol
_atom_site_fract_x
_atom_site_fract_y
_atom_site_fract_z
Sm1 Sm 0.1186 0.1186 0.3323
Sm2 Sm 0.2282 0.2282 0.8243
Sm3 Sm 0.7718 0.7718 0.1757
Sm4 Sm 0.8814 0.8814 0.6677
In1 In 0.0090 0.0090 0.0949
In2 In 0.0640 0.0640 0.7900
In3 In 0.1145 0.1145 0.5512
In4 In 0.2016 0.2016 0.0025
In5 In 0.2459 0.2459 0.2907
In6 In 0.2967 0.2967 0.4977
In7 In 0.3727 0.3727 0.8042
In8 In 0.3893 0.3893 0.3100
In9 In 0.3983 0.3983 0.0079
In10 In 0.4597 0.4597 0.6219
In11 In 0.5403 0.5403 0.3781
In12 In 0.6017 0.6017 0.9921
In13 In 0.6107 0.6107 0.6900
In14 In 0.6273 0.6273 0.1958
In15 In 0.7033 0.7033 0.5023
In16 In 0.7541 0.7541 0.7093
In17 In 0.7984 0.7984 0.9975
In18 In 0.8855 0.8855 0.4488
In19 In 0.9360 0.9360 0.2100
In20 In 0.9910 0.9910 0.9051
Ni1 Ni 0.0224 0.0224 0.5996
Ni2 Ni 0.1342 0.1342 0.1024
Ni3 Ni 0.2521 0.2521 0.6164
Ni4 Ni 0.3474 0.3474 0.1201
Ni5 Ni 0.4947 0.4947 0.8063
Ni6 Ni 0.5000 0.5000 0.5000
Ni7 Ni 0.5053 0.5053 0.1937
Ni8 Ni 0.6526 0.6526 0.8799
Ni9 Ni 0.7479 0.7479 0.3836
Ni10 Ni 0.8658 0.8658 0.8976
Ni11 Ni 0.9776 0.9776 0.4004
# final energy: -145.6 eV for the cell shown
# total magnetization: 0.0 μB/f.u.
# space group: C2/m (12)


(5)
# ZrTa2Ga PBE optimized geometry
data_ZrTa2Ga
_symmetry_space_group_name_H-M 'P 1'
_symmetry_Int_Tables_number 1
_symmetry_space_group_name_Hall 'P 1'
_cell_length_a 4.7166
_cell_length_b 4.7166
_cell_length_c 4.7166
_cell_angle_alpha 60.00
_cell_angle_beta 60.00
_cell_angle_gamma 60.00
loop_
_atom_site_label
_atom_site_type_symbol
_atom_site_fract_x
_atom_site_fract_y
_atom_site_fract_z
Zr1 Zr 0.0000 0.0000 0.0000
Ta1 Ta 0.2500 0.2500 0.2500
Ta2 Ta 0.5000 0.5000 0.5000
Ga1 Ga 0.7500 0.7500 0.7500
# final energy: -35.5 eV for the cell shown
# total magnetization: 0.0 μB/f.u.
# space group: F-43m (216)


(6)
# Cd3Re4PbO12 PBE optimized geometry
data_Cd3Re4PbO12
_symmetry_space_group_name_H-M 'P 1'
_symmetry_Int_Tables_number 1
_symmetry_space_group_name_Hall 'P 1'
_cell_length_a 6.7690
_cell_length_b 6.7690
_cell_length_c 6.7690
_cell_angle_alpha 109.47
_cell_angle_beta 109.47
_cell_angle_gamma 109.47
loop_
_atom_site_label
_atom_site_type_symbol
_atom_site_fract_x
_atom_site_fract_y
_atom_site_fract_z
Cd1 Cd 0.0000 0.5000 0.5000
Cd2 Cd 0.5000 0.0000 0.5000
Cd3 Cd 0.5000 0.5000 0.0000
Re1 Re 0.0000 0.0000 0.5000
Re2 Re 0.0000 0.5000 0.0000
Re3 Re 0.5000 0.0000 0.0000
Re4 Re 0.5000 0.5000 0.5000
Pb1 Pb 0.0000 0.0000 0.0000
O1 O 0.0909 0.2927 0.7982
O2 O 0.2018 0.4945 0.2927
O3 O 0.2018 0.9091 0.7073
O4 O 0.2927 0.2018 0.4945
O5 O 0.2927 0.7982 0.0909
O6 O 0.4945 0.2927 0.2018
O7 O 0.5055 0.7073 0.7982
O8 O 0.7073 0.2018 0.9091
O9 O 0.7073 0.7982 0.5055
O10 O 0.7982 0.0909 0.2927
O11 O 0.7982 0.5055 0.7073
O12 O 0.9091 0.7073 0.2018
# final energy: -136.9 eV for the cell shown
# total magnetization: 6.4 μB/f.u.
# space group: Im-3 (204)


(7)
# Gd2HoNiSn3Pd2 PBE optimized geometry
data_Gd2HoNiSn3Pd2
_symmetry_space_group_name_H-M 'P 1'
_symmetry_Int_Tables_number 1
_symmetry_space_group_name_Hall 'P 1'
_cell_length_a 3.9099
_cell_length_b 7.5420
_cell_length_c 7.5420
_cell_angle_alpha 119.84
_cell_angle_beta 90.00
_cell_angle_gamma 90.00
loop_
_atom_site_label
_atom_site_type_symbol
_atom_site_fract_x
_atom_site_fract_y
_atom_site_fract_z
Gd1 Gd 0.0000 0.2020 0.7980
Gd2 Gd 0.0000 0.7980 0.2020
Ho1 Ho 0.0000 0.3955 0.3955
Ni1 Ni 0.0000 0.7964 0.7964
Sn1 Sn 0.5000 0.0470 0.0470
Sn2 Sn 0.5000 0.5486 0.7971
Sn3 Sn 0.5000 0.7971 0.5486
Pd1 Pd 0.5000 0.1338 0.4636
Pd2 Pd 0.5000 0.4636 0.1338
# final energy: -49.7 eV for the cell shown
# total magnetization: 0.0 μB/f.u.
# space group: Amm2 (38)


(8)
# Hf3Ni2As2 PBE optimized geometry
data_Hf3Ni2As2
_symmetry_space_group_name_H-M 'P 1'
_symmetry_Int_Tables_number 1
_symmetry_space_group_name_Hall 'P 1'
_cell_length_a 7.8619
_cell_length_b 7.8619
_cell_length_c 7.8619
_cell_angle_alpha 33.29
_cell_angle_beta 33.29
_cell_angle_gamma 33.29
loop_
_atom_site_label
_atom_site_type_symbol
_atom_site_fract_x
_atom_site_fract_y
_atom_site_fract_z
Hf1 Hf 0.0000 0.0000 0.0000
Hf2 Hf 0.2363 0.2363 0.2363
Hf3 Hf 0.7572 0.7572 0.7572
Ni1 Ni 0.3557 0.3557 0.3557
Ni2 Ni 0.8830 0.8830 0.8830
As1 As 0.1186 0.1186 0.1186
As2 As 0.6219 0.6219 0.6219
# final energy: -52.7 eV for the cell shown
# total magnetization: 0.0 μB/f.u.
# space group: R3m (160)


(9)
# DyTeAuO PBE optimized geometry
data_DyTeAuO
_symmetry_space_group_name_H-M 'P 1'
_symmetry_Int_Tables_number 1
_symmetry_space_group_name_Hall 'P 1'
_cell_length_a 4.0187
_cell_length_b 4.0187
_cell_length_c 10.0631
_cell_angle_alpha 90.00
_cell_angle_beta 90.00
_cell_angle_gamma 90.00
loop_
_atom_site_label
_atom_site_type_symbol
_atom_site_fract_x
_atom_site_fract_y
_atom_site_fract_z
Dy1 Dy 0.2500 0.2500 0.1065
Dy2 Dy 0.7500 0.7500 0.8935
Te1 Te 0.2500 0.2500 0.7147
Te2 Te 0.7500 0.7500 0.2853
Au1 Au 0.2500 0.7500 0.5000
Au2 Au 0.7500 0.2500 0.5000
O1 O 0.2500 0.7500 0.0000
O2 O 0.7500 0.2500 0.0000
# final energy: -46.0 eV for the cell shown
# total magnetization: 0.0 μB/f.u.
# space group: P4/nmm (129)


(10)
# LuZnPd PBE optimized geometry
data_LuZnPd
_symmetry_space_group_name_H-M 'P 1'
_symmetry_Int_Tables_number 1
_symmetry_space_group_name_Hall 'P 1'
_cell_length_a 4.5907
_cell_length_b 4.5907
_cell_length_c 4.5907
_cell_angle_alpha 60.00
_cell_angle_beta 60.00
_cell_angle_gamma 60.00
loop_
_atom_site_label
_atom_site_type_symbol
_atom_site_fract_x
_atom_site_fract_y
_atom_site_fract_z
Lu1 Lu 0.0000 0.0000 0.0000
Zn1 Zn 0.2500 0.2500 0.2500
Pd1 Pd 0.7500 0.7500 0.7500
# final energy: -11.4 eV for the cell shown
# E_form: -0.15 eV per atom
# total magnetization: 0.0 μB/f.u.
# space group: F-43m (216)


(11)
# CdSbPd2 PBE optimized geometry
data_CdSbPd2
_symmetry_space_group_name_H-M 'P 1'
_symmetry_Int_Tables_number 1
_symmetry_space_group_name_Hall 'P 1'
_cell_length_a 4.7326
_cell_length_b 4.7326
_cell_length_c 4.7326
_cell_angle_alpha 60.00
_cell_angle_beta 60.00
_cell_angle_gamma 60.00
loop_
_atom_site_label
_atom_site_type_symbol
_atom_site_fract_x
_atom_site_fract_y
_atom_site_fract_z
Cd1 Cd 0.0000 0.0000 0.0000
Sb1 Sb 0.7500 0.7500 0.7500
Pd1 Pd 0.2500 0.2500 0.2500
Pd2 Pd 0.5000 0.5000 0.5000
# final energy: -16.1 eV for the cell shown
# space group: F-43m (216)


(12)
# Si4NiIr3 PBE optimized geometry
data_Si4NiIr3
_symmetry_space_group_name_H-M 'P 1'
_symmetry_Int_Tables_number 1
_symmetry_space_group_name_Hall 'P 1'
_cell_length_a 3.8280
_cell_length_b 3.7851
_cell_length_c 7.4601
_cell_angle_alpha 90.00
_cell_angle_beta 90.25
_cell_angle_gamma 90.00
loop_
_atom_site_label
_atom_site_type_symbol
_atom_site_fract_x
_atom_site_fract_y
_atom_site_fract_z
Si1 Si 0.0000 0.0000 0.0000
Si2 Si 0.0000 0.0000 0.4871
Si3 Si 0.4985 0.5000 0.4898
Si4 Si 0.5004 0.5000 0.0033
Ni1 Ni 0.5014 0.0000 0.3081
Ir1 Ir 0.0022 0.5000 0.1991
Ir2 Ir 0.4990 0.0000 0.8060
Ir3 Ir 0.9994 0.5000 0.6843
# final energy: -57.7 eV for the cell shown
# total magnetization: 0.0 μB/f.u.
# space group: Pm (6)


(13)
# TmZn2 PBE optimized geometry
data_TmZn2
_symmetry_space_group_name_H-M 'P 1'
_symmetry_Int_Tables_number 1
_symmetry_space_group_name_Hall 'P 1'
_cell_length_a 5.7159
_cell_length_b 5.7159
_cell_length_c 4.5210
_cell_angle_alpha 90.00
_cell_angle_beta 90.00
_cell_angle_gamma 50.27
loop_
_atom_site_label
_atom_site_type_symbol
_atom_site_fract_x
_atom_site_fract_y
_atom_site_fract_z
Tm1 Tm 0.2363 0.7637 0.7500
Tm2 Tm 0.7637 0.2363 0.2500
Zn1 Zn 0.1310 0.4885 0.2500
Zn2 Zn 0.4885 0.1310 0.7500
Zn3 Zn 0.5115 0.8690 0.2500
Zn4 Zn 0.8690 0.5115 0.7500
# final energy: -15.3 eV for the cell shown
# E_form: -0.21 eV per atom
# total magnetization: 0.0 μB/f.u.
# space group: Cmcm (63)


(14)
# Sm2C2IBr PBE optimized geometry
data_Sm2C2IBr
_symmetry_space_group_name_H-M 'P 1'
_symmetry_Int_Tables_number 1
_symmetry_space_group_name_Hall 'P 1'
_cell_length_a 4.1640
_cell_length_b 4.1640
_cell_length_c 10.5804
_cell_angle_alpha 93.91
_cell_angle_beta 93.91
_cell_angle_gamma 56.57
loop_
_atom_site_label
_atom_site_type_symbol
_atom_site_fract_x
_atom_site_fract_y
_atom_site_fract_z
Sm1 Sm 0.0000 0.0000 0.0000
Sm2 Sm 0.7074 0.7074 0.7235
C1 C 0.2794 0.2794 0.8936
C2 C 0.4279 0.4279 0.8293
I1 I 0.6838 0.6838 0.2043
Br1 Br 0.0309 0.0309 0.5442
# final energy: -36.8 eV for the cell shown
# total magnetization: 0.0 μB/f.u.
# space group: Cm (8)


(15)
# Np2Te3 PBE optimized geometry
data_Np2Te3
_symmetry_space_group_name_H-M 'P 1'
_symmetry_Int_Tables_number 1
_symmetry_space_group_name_Hall 'P 1'
_cell_length_a 11.9253
_cell_length_b 4.3234
_cell_length_c 11.7242
_cell_angle_alpha 90.00
_cell_angle_beta 90.00
_cell_angle_gamma 90.00
loop_
_atom_site_label
_atom_site_type_symbol
_atom_site_fract_x
_atom_site_fract_y
_atom_site_fract_z
Np1 Np 0.0105 0.2500 0.1848
Np2 Np 0.1908 0.2500 0.5046
Np3 Np 0.3092 0.7500 0.0046
Np4 Np 0.4895 0.7500 0.6848
Np5 Np 0.5105 0.2500 0.3152
Np6 Np 0.6908 0.2500 0.9954
Np7 Np 0.8092 0.7500 0.4954
Np8 Np 0.9895 0.7500 0.8152
Te1 Te 0.0492 0.7500 0.3715
Te2 Te 0.1245 0.2500 0.9437
Te3 Te 0.2286 0.7500 0.7040
Te4 Te 0.2714 0.2500 0.2040
Te5 Te 0.3755 0.7500 0.4437
Te6 Te 0.4508 0.2500 0.8715
Te7 Te 0.5492 0.7500 0.1285
Te8 Te 0.6245 0.2500 0.5563
Te9 Te 0.7286 0.7500 0.7960
Te10 Te 0.7714 0.2500 0.2960
Te11 Te 0.8755 0.7500 0.0563
Te12 Te 0.9508 0.2500 0.6285
# final energy: -155.2 eV for the cell shown
# total magnetization: 8.0 μB/f.u.
# space group: Pnma (62)


(16)
# Zr3Fe2As4Pd2 PBE optimized geometry
data_Zr3Fe2As4Pd2
_symmetry_space_group_name_H-M 'P 1'
_symmetry_Int_Tables_number 1
_symmetry_space_group_name_Hall 'P 1'
_cell_length_a 6.5776
_cell_length_b 3.8940
_cell_length_c 7.5110
_cell_angle_alpha 90.00
_cell_angle_beta 90.39
_cell_angle_gamma 90.00
loop_
_atom_site_label
_atom_site_type_symbol
_atom_site_fract_x
_atom_site_fract_y
_atom_site_fract_z
Zr1 Zr 0.0000 0.0000 0.0000
Zr2 Zr 0.0696 0.5000 0.6287
Zr3 Zr 0.5575 0.5000 0.4859
Fe1 Fe 0.1447 0.5000 0.2661
Fe2 Fe 0.9077 0.0000 0.3629
As1 As 0.2788 0.0000 0.3974
As2 As 0.2939 0.5000 0.9697
As3 As 0.7790 0.0000 0.6684
As4 As 0.7839 0.5000 0.1951
Pd1 Pd 0.3732 0.0000 0.7510
Pd2 Pd 0.6757 0.5000 0.8752
# final energy: -79.3 eV for the cell shown
# total magnetization: 3.2 μB/f.u.
# space group: Pm (6)


(17)
# NpPaSn PBE optimized geometry
data_NpPaSn
_symmetry_space_group_name_H-M 'P 1'
_symmetry_Int_Tables_number 1
_symmetry_space_group_name_Hall 'P 1'
_cell_length_a 5.0262
_cell_length_b 5.0262
_cell_length_c 5.0262
_cell_angle_alpha 60.00
_cell_angle_beta 60.00
_cell_angle_gamma 60.00
loop_
_atom_site_label
_atom_site_type_symbol
_atom_site_fract_x
_atom_site_fract_y
_atom_site_fract_z
Np1 Np 0.0000 0.0000 0.0000
Pa1 Pa 0.2500 0.2500 0.2500
Sn1 Sn 0.5000 0.5000 0.5000
# final energy: -24.5 eV for the cell shown
# total magnetization: 7.5 μB/f.u.
# space group: F-43m (216)


(18)
# DyTeNO PBE optimized geometry
data_DyTeNO
_symmetry_space_group_name_H-M 'P 1'
_symmetry_Int_Tables_number 1
_symmetry_space_group_name_Hall 'P 1'
_cell_length_a 5.0211
_cell_length_b 5.0211
_cell_length_c 4.8411
_cell_angle_alpha 90.00
_cell_angle_beta 90.00
_cell_angle_gamma 90.00
loop_
_atom_site_label
_atom_site_type_symbol
_atom_site_fract_x
_atom_site_fract_y
_atom_site_fract_z
Dy1 Dy 0.2500 0.7500 0.0000
Dy2 Dy 0.7500 0.2500 0.0000
Te1 Te 0.2500 0.2500 0.4843
Te2 Te 0.7500 0.7500 0.5157
N1 N 0.2500 0.2500 0.9120
N2 N 0.7500 0.7500 0.0880
O1 O 0.2500 0.7500 0.5000
O2 O 0.7500 0.2500 0.5000
# final energy: -48.5 eV for the cell shown
# total magnetization: 0.0 μB/f.u.
# space group: P4/nmm (129)


(19)
# Tb2DyMg3Pt3 PBE optimized geometry
data_Tb2DyMg3Pt3
_symmetry_space_group_name_H-M 'P 1'
_symmetry_Int_Tables_number 1
_symmetry_space_group_name_Hall 'P 1'
_cell_length_a 4.0757
_cell_length_b 7.3646
_cell_length_c 7.3646
_cell_angle_alpha 119.99
_cell_angle_beta 90.00
_cell_angle_gamma 90.00
loop_
_atom_site_label
_atom_site_type_symbol
_atom_site_fract_x
_atom_site_fract_y
_atom_site_fract_z
Tb1 Tb 0.0000 0.2052 0.7948
Tb2 Tb 0.0000 0.7948 0.2052
Dy1 Dy 0.0000 0.3849 0.3849
Mg1 Mg 0.5000 0.0398 0.0398
Mg2 Mg 0.5000 0.5500 0.7945
Mg3 Mg 0.5000 0.7945 0.5500
Pt1 Pt 0.0000 0.7942 0.7942
Pt2 Pt 0.5000 0.1288 0.4613
Pt3 Pt 0.5000 0.4613 0.1288
# final energy: -45.3 eV for the cell shown
# total magnetization: 0.0 μB/f.u.
# space group: Amm2 (38)


(20)
# MgCdO2 PBE optimized geometry
data_MgCdO2
_symmetry_space_group_name_H-M 'P 1'
_symmetry_Int_Tables_number 1
_symmetry_space_group_name_Hall 'P 1'
_cell_length_a 4.5273
_cell_length_b 3.1978
_cell_length_c 6.3876
_cell_angle_alpha 90.00
_cell_angle_beta 90.00
_cell_angle_gamma 90.00
loop_
_atom_site_label
_atom_site_type_symbol
_atom_site_fract_x
_atom_site_fract_y
_atom_site_fract_z
Mg1 Mg 0.0000 0.0016 0.0000
Mg2 Mg 0.0000 0.9984 0.5000
Cd1 Cd 0.5000 0.4988 0.2512
Cd2 Cd 0.5000 0.5012 0.7512
O1 O 0.0000 0.4993 0.2490
O2 O 0.0000 0.5007 0.7490
O3 O 0.5000 0.0006 0.0015
O4 O 0.5000 0.9994 0.5015
# final energy: -38.5 eV for the cell shown
# space group: Pmc2_1 (26)